Record 1
This record from Alexandria via LeMat-Bulk describes a relaxed structure of InAgP2S. The functional is PBE-GGA.

Cell lengths 4.8615, 4.8615, 4.9801 Å; angles 90.00, 90.00, 90.00 degrees
With the nearest neighbours (Å) after each atom.
Positions (direct):
P (0.5000, 0.0000, 0.0000)  2 Ag 2.43
P (0.0000, 0.5000, 0.0000)  2 Ag 2.43
In (0.5000, 0.5000, 0.5000)  4 S 3.44, 8 P 3.48
Ag (0.0000, 0.0000, 0.0000)  4 P 2.43, 2 S 2.49
S (0.0000, 0.0000, 0.5000)  2 Ag 2.49

## Properties
E_form (uncorrected) = 892 meV per atom
D(E_F) = 5.376 states/eV/f.u.
M_tot = 0.254 μB per atom
Space group = P4/mmm, No. 123
Energy above the most stable polymorph in this dataset = 0.0 meV/atom


Record 2
This record from Alexandria via LeMat-Bulk describes a relaxed structure of InAgP2Se. The functional is PBE-GGA.

Cell lengths 4.7722, 5.4359, 4.7722 Å; angles 90.00, 90.00, 90.00 degrees
With the nearest neighbours (Å) after each atom.
Positions (direct):
In (0.0000, 0.5000, 0.0000)  2 Ag 2.72
P (0.5000, 0.0000, 0.0000)  2 Ag 2.39
P (0.0000, 0.0000, 0.5000)  2 Ag 2.39
Ag (0.0000, 0.0000, 0.0000)  4 P 2.39
Se (0.5000, 0.5000, 0.5000)  4 In 3.37, 8 P 3.62

## Properties
E_form (uncorrected) = 891 meV per atom
D(E_F) = 4.964 states/eV/f.u.
M_tot = 0.000 μB per atom
Space group = P4/mmm, No. 123